Here is a relaxed HfZn2Hg crystal from Alexandria via LeMat-Bulk. Energies are from PBE.

a = 3.125 Å, b = 3.125 Å, c = 7.567 Å
α = 90.00°, β = 90.00°, γ = 90.00°
Space group P4/mmm (No. 123)
Symmetry-distinct sites (fractional):
Hf1 0.000 0.000 0.000 [1 per cell]
Zn1 0.500 0.500 0.248 [2 per cell]
Hg1 0.000 0.000 0.500 [1 per cell]

Properties
As for the spin magnetization: 0.000 Bohr magnetons per cell. The formation energy comes out at -0.0366 eV/atom. The volume is 18.48 Å³/atom.



Here is a relaxed La6Ir2Br3F crystal from Alexandria via LeMat-Bulk. Energies are from PBE.

a = 7.192 Å, b = 12.603 Å, c = 8.238 Å
α = 90.00°, β = 106.89°, γ = 90.00°
Space group C2/m (No. 12)
Symmetry-distinct sites (fractional):
La1 0.224 0.000 0.194 [4 per cell]
La2 0.241 0.327 0.200 [8 per cell]
Ir1 0.000 0.167 0.000 [4 per cell]
Br1 0.000 0.000 0.500 [2 per cell]
Br2 0.000 0.332 0.500 [4 per cell]
F1 0.000 0.500 0.000 [2 per cell]

Properties
As for the spin magnetization: 0.000 Bohr magnetons per cell. As for the formation energy without anion corrections: -1648 kJ/mol of formula units. The volume is 29.77 Å³/atom.



Here is a relaxed As2IrPd2 crystal from Alexandria via LeMat-Bulk. Energies are from PBE.

a = 6.260 Å, b = 6.260 Å, c = 4.409 Å
α = 90.00°, β = 90.00°, γ = 90.00°
Space group P4/mbm (No. 127)
Symmetry-distinct sites (fractional):
As1 0.137 0.363 0.000 [4 per cell]
Ir1 0.000 0.000 0.000 [2 per cell]
Pd1 0.238 0.738 0.500 [4 per cell]

Properties
As for the spin magnetization: 0.000 Bohr magnetons per cell. The formation energy comes out at -0.1212 eV/atom. The volume is 17.28 Å³/atom. The value obtained for the offset from the most stable computed form is 0.0000 eV per atom.